No. 1
The following is a DFT calculation (PBE) of a relaxed structure of CsRbNiCl6.

E_form (uncorrected) = -1.059 eV/atom
density = 2.4 Mg/m³
total DFT energy (no corrections) = -3.135 eV/atom

Unit cell a=7.6087 b=7.6087 c=6.6715 alpha=90.00 beta=90.00 gamma=120.00
With the nearest neighbours (Å) after each atom.
Atoms (fractional coordinates):
Cs  0.0000  0.0000  0.0000  6 Cl 3.57
Rb  0.3333  0.6667  0.5000  6 Cl 3.25
Ni  0.6667  0.3333  0.5000  6 Cl 2.25
Cl  0.4253  0.0943  0.6973  1 Ni 2.25
Cl  0.4253  0.3309  0.3027  1 Ni 2.25
Cl  0.6691  0.0943  0.3027  1 Ni 2.25
Cl  0.6691  0.5747  0.6973  1 Ni 2.25
Cl  0.9057  0.3309  0.6973  1 Ni 2.25
Cl  0.9057  0.5747  0.3027  1 Ni 2.25

=====

No. 2
The following is a DFT calculation (PBE) of a relaxed structure of CeEr2Zr.

energy above the most stable polymorph in this dataset = 0.02 eV/f.u.
ΔH_f (0 K) = 0.101 eV/atom
density = 8.4 Mg/m³
total DFT energy (no corrections) = -5.801 eV/atom

Unit cell a=11.4129 b=11.4129 c=11.4129 alpha=17.08 beta=17.08 gamma=17.08
With the nearest neighbours (Å) after each atom.
Atoms (fractional coordinates):
Ce  0.0000  0.0000  0.0000  6 Ce 3.39, 6 Er 3.54-3.59
Er  0.5775  0.5775  0.5775  3 Zr 3.29, 6 Er 3.39, 3 Ce 3.59
Er  0.7542  0.7542  0.7542  3 Zr 3.29, 6 Er 3.39, 3 Ce 3.54
Zr  0.1658  0.1658  0.1658  6 Er 3.29, 6 Zr 3.39

=====

No. 3
The following is a DFT calculation (PBE) of a relaxed structure of Nd4ThSe5.

E_form (uncorrected) = -1.772 eV/atom
density = 7.5 Mg/m³
total DFT energy (no corrections) = -6.163 eV/atom

Unit cell a=15.2433 b=15.2433 c=15.2433 alpha=164.07 beta=164.07 gamma=22.60
With the nearest neighbours (Å) after each atom.
Atoms (fractional coordinates):
Nd  0.1004  0.1004  0.0000  6 Se 2.99-3.02
Nd  0.3028  0.3028  0.0000  6 Se 2.93-3.03
Nd  0.6972  0.6972  0.0000  6 Se 2.93-3.03
Nd  0.8996  0.8996  0.0000  6 Se 2.99-3.02
Th  0.5000  0.5000  0.0000  6 Se 2.96-2.99
Se  0.0000  0.0000  0.0000  4 Th 2.99, 2 Nd 3.00
Se  0.2015  0.2015  0.0000  6 Nd 2.99-3.03
Se  0.4009  0.4009  0.0000  5 Nd 2.93-2.99, 1 Th 2.96
Se  0.5991  0.5991  0.0000  5 Nd 2.93-2.99, 1 Th 2.96
Se  0.7985  0.7985  0.0000  6 Nd 2.99-3.03

=====

No. 4
The following is a DFT calculation (PBE) of a relaxed structure of InSi2Rh2.

E_form (uncorrected) = -0.313 eV/atom
density = 8.1 Mg/m³
total DFT energy (no corrections) = -5.970 eV/atom

Unit cell a=7.4602 b=7.4602 c=2.7853 alpha=90.00 beta=90.00 gamma=90.00
With the nearest neighbours (Å) after each atom.
Atoms (fractional coordinates):
In  0.0000  0.0000  0.0000  2 In 2.79, 4 Si 2.89
In  0.5000  0.5000  0.0000  2 In 2.79, 4 Si 2.89
Si  0.1385  0.3615  0.0000  6 Rh 2.53-2.67, 2 Si 2.79
Si  0.3615  0.8615  0.0000  6 Rh 2.53-2.67, 2 Si 2.79
Si  0.6385  0.1385  0.0000  6 Rh 2.53-2.67, 2 Si 2.79
Si  0.8615  0.6385  0.0000  6 Rh 2.53-2.67, 2 Si 2.79
Rh  0.1451  0.6451  0.5000  6 Si 2.53-2.67, 2 Rh 2.79
Rh  0.3549  0.1451  0.5000  6 Si 2.53-2.67, 2 Rh 2.79
Rh  0.6451  0.8549  0.5000  6 Si 2.53-2.67, 2 Rh 2.79
Rh  0.8549  0.3549  0.5000  6 Si 2.53-2.67, 2 Rh 2.79

=====

- Which formula does entry 3 have?
  Nd4ThSe5

=====

- Which of these has the lowest total DFT energy (no corrections)?
  Nd4ThSe5

=====

What did the first record say?
The following is a DFT calculation (PBE) of a relaxed structure of CsRbNiCl6.

E_form (uncorrected) = -1.059 eV/atom
density = 2.4 Mg/m³
total DFT energy (no corrections) = -3.135 eV/atom

Unit cell a=7.6087 b=7.6087 c=6.6715 alpha=90.00 beta=90.00 gamma=120.00
With the nearest neighbours (Å) after each atom.
Atoms (fractional coordinates):
Cs  0.0000  0.0000  0.0000  6 Cl 3.57
Rb  0.3333  0.6667  0.5000  6 Cl 3.25
Ni  0.6667  0.3333  0.5000  6 Cl 2.25
Cl  0.4253  0.0943  0.6973  1 Ni 2.25
Cl  0.4253  0.3309  0.3027  1 Ni 2.25
Cl  0.6691  0.0943  0.3027  1 Ni 2.25
Cl  0.6691  0.5747  0.6973  1 Ni 2.25
Cl  0.9057  0.3309  0.6973  1 Ni 2.25
Cl  0.9057  0.5747  0.3027  1 Ni 2.25